Compound: NpSi6Ni12
Source: Alexandria
Functional: PBE
Structure: relaxed

abc: 6.5303 6.5303 6.5303
angles: 105.31 105.31 105.31
Site moments in Bohr magnetons follow the coordinates.
Fractional coordinates of all 19 atoms:
Np 0.0000 0.0000 0.0000  3.84
Si 0.7008 0.2534 0.2534  0.00
Si 0.2534 0.2534 0.7008  0.00
Si 0.2534 0.7008 0.2534  0.00
Si 0.7466 0.7466 0.2992  0.00
Si 0.2992 0.7466 0.7466  0.00
Si 0.7466 0.2992 0.7466  0.00
Ni 0.8785 0.1215 0.5000  0.02
Ni 0.8358 0.5741 0.5741  -0.01
Ni 0.5741 0.5741 0.8358  -0.01
Ni 0.4259 0.1642 0.4259  -0.01
Ni 0.4259 0.4259 0.1642  -0.01
Ni 0.1642 0.4259 0.4259  -0.01
Ni 0.1215 0.5000 0.8785  0.02
Ni 0.5000 0.8785 0.1215  0.02
Ni 0.1215 0.8785 0.5000  0.02
Ni 0.8785 0.5000 0.1215  0.02
Ni 0.5000 0.1215 0.8785  0.02
Ni 0.5741 0.8358 0.5741  -0.01

Properties
Total magnetic moment in μB per cell: 4.11
Fermi-level density of states in states/eV/cell: 20.71
Final energy in eV per atom: -6.448